[1]
Ni2HOs | Alexandria via LeMat-Bulk | GGA-PBEsol | optimized geometry; space-group type = No. 225; D(E_F) = 5.02 states/eV/cell; mass density = 11.937 Mg/m³; E_tot = -6.016 eV/atom; M_tot = 0.88 Bohr magnetons per cell
1.0
3.930 0.000 0.000
1.965 3.404 0.000
1.965 1.135 3.209
Os Ni H
1 2 1
direct
0.500 0.500 0.500
0.750 0.750 0.750
0.250 0.250 0.250
0.000 0.000 0.000

[2]
Na2CaTi2Ge3O12 | Alexandria via LeMat-Bulk | GGA-PBEsol | optimized geometry; energy relative to the elements, uncorrected = -226 kJ/mol of atoms; space-group type = No. 142; D(E_F) = 0.00 states/eV/cell; mass density = 4.266 Mg/m³; E_tot = -7.313 eV/atom; M_tot = 0.00 Bohr magnetons per cell
1.0
-1.431 7.232 -7.641
-5.975 -8.512 -2.140
-10.230 2.813 -0.400
Na O Ti Ge Ca
8 48 8 12 4
direct
0.125 0.748 0.877
0.752 0.375 0.123
0.125 0.248 0.377
0.625 0.502 0.623
0.625 0.002 0.123
0.252 0.375 0.623
0.498 0.875 0.877
0.998 0.875 0.377
0.861 0.008 0.948
0.473 0.239 0.834
0.192 0.139 0.852
0.261 0.027 0.166
0.385 0.819 0.140
0.277 0.011 0.666
0.492 0.639 0.052
0.677 0.943 0.334
0.489 0.223 0.334
0.692 0.544 0.948
0.475 0.615 0.566
0.761 0.927 0.766
0.973 0.807 0.766
0.058 0.706 0.552
0.959 0.525 0.860
0.361 0.308 0.148
0.989 0.323 0.734
0.073 0.307 0.166
0.956 0.808 0.052
0.275 0.635 0.934
0.181 0.041 0.434
0.258 0.611 0.448
0.557 0.823 0.666
0.291 0.931 0.934
0.794 0.442 0.448
0.459 0.319 0.566
0.758 0.206 0.352
0.193 0.427 0.834
0.865 0.225 0.066
0.885 0.025 0.434
0.177 0.511 0.266
0.389 0.942 0.352
0.889 0.242 0.552
0.569 0.209 0.066
0.777 0.443 0.734
0.791 0.725 0.640
0.069 0.135 0.640
0.294 0.742 0.648
0.365 0.431 0.360
0.775 0.709 0.360
0.057 0.723 0.266
0.681 0.115 0.860
0.975 0.541 0.140
0.992 0.044 0.148
0.693 0.527 0.234
0.558 0.111 0.648
0.573 0.739 0.234
0.456 0.508 0.852
0.875 0.125 0.250
0.875 0.625 0.250
0.875 0.125 0.750
0.375 0.625 0.250
0.875 0.625 0.750
0.375 0.125 0.750
0.375 0.625 0.750
0.375 0.125 0.250
0.001 0.375 0.874
0.750 0.250 0.500
0.000 0.000 0.000
0.625 0.251 0.874
0.501 0.375 0.374
0.125 0.499 0.126
0.500 0.500 0.000
0.749 0.875 0.626
0.249 0.875 0.126
0.125 0.999 0.626
0.250 0.750 0.500
0.625 0.751 0.374
0.250 0.250 0.000
0.500 0.000 0.500
0.750 0.750 0.000
0.000 0.500 0.500

Please write out number 1 again, unchanged.
Ni2HOs | Alexandria via LeMat-Bulk | GGA-PBEsol | optimized geometry; space-group type = No. 225; D(E_F) = 5.02 states/eV/cell; mass density = 11.937 Mg/m³; E_tot = -6.016 eV/atom; M_tot = 0.88 Bohr magnetons per cell
1.0
3.930 0.000 0.000
1.965 3.404 0.000
1.965 1.135 3.209
Os Ni H
1 2 1
direct
0.500 0.500 0.500
0.750 0.750 0.750
0.250 0.250 0.250
0.000 0.000 0.000